(1)
Computed, not measured: crystalline Ni2AgPt at its relaxed geometry at the PBE-GGA level of DFT.

Lattice parameters (Å, degrees): 9.1345 9.1345 9.1345 156.09 156.09 34.07
Fractional coordinates of all 8 atoms:
Ni  0.0866  0.6250  0.9616
Ni  0.3750  0.3366  0.4616
Ni  0.6634  0.1250  0.0384
Ni  0.8750  0.9134  0.5384
Ag  0.2500  0.7500  0.5000
Ag  0.5000  0.5000  0.0000
Pt  0.0000  0.0000  0.0000
Pt  0.7500  0.2500  0.5000

- Space group: I-42d, No. 122
- Energy relative to the elements: 0.49 eV/atom
- Total DFT energy (no corrections): -4.63 eV/atom
- Crystal system: tetragonal
- Total magnetic moment: 3.01 μB per cell
- Fermi-level density of states: 1.42 states/eV/atom

(2)
Computed, not measured: crystalline NiAgPt2 at its relaxed geometry at the PBE-GGA level of DFT.

Lattice parameters (Å, degrees): 2.7713 2.7713 7.8518 90.00 90.00 90.00
Fractional coordinates of all 4 atoms:
Ni  0.0000  0.0000  0.0000
Ag  0.0000  0.0000  0.5000
Pt  0.5000  0.5000  0.2215
Pt  0.5000  0.5000  0.7785

- Space group: P4/mmm, No. 123
- Energy relative to the elements: -0.03 eV/atom
- Total DFT energy (no corrections): -5.21 eV/atom
- Crystal system: tetragonal
- Total magnetic moment: 1.30 μB per cell
- Fermi-level density of states: 0.91 states/eV/atom

(3)
Computed, not measured: crystalline Ni2AgPt at its relaxed geometry at the PBE-GGA level of DFT.

Lattice parameters (Å, degrees): 2.7253 3.6672 5.5907 90.00 90.25 90.00
Fractional coordinates of all 4 atoms:
Ni  0.0006  0.0000  0.2288
Ni  0.9994  0.0000  0.7712
Ag  0.5000  0.5000  0.5000
Pt  0.5000  0.5000  0.0000

- Space group: P2/m, No. 10
- Energy relative to the elements: 0.09 eV/atom
- Total DFT energy (no corrections): -5.03 eV/atom
- Crystal system: monoclinic
- Total magnetic moment: 1.47 μB per cell
- Fermi-level density of states: 1.40 states/eV/atom

(4)
Computed, not measured: crystalline NiAgPtRh2 at its relaxed geometry at the PBE-GGA level of DFT.

Lattice parameters (Å, degrees): 4.4268 4.4268 4.6196 90.00 90.00 90.00
Fractional coordinates of all 5 atoms:
Ni  0.0000  0.0000  0.0000
Ag  0.0000  0.0000  0.5000
Pt  0.5000  0.5000  0.5000
Rh  0.0000  0.5000  0.0000
Rh  0.5000  0.0000  0.0000

- Space group: P4/mmm, No. 123
- Energy relative to the elements: 1.13 eV/atom
- Total DFT energy (no corrections): -4.75 eV/atom
- Crystal system: tetragonal
- Total magnetic moment: 2.88 μB per cell
- Fermi-level density of states: 1.41 states/eV/atom

(5)
Computed, not measured: crystalline Sc4NiAgPt2 at its relaxed geometry at the PBE-GGA level of DFT.

Lattice parameters (Å, degrees): 8.1039 8.1039 8.1039 33.48 33.48 33.48
Fractional coordinates of all 8 atoms:
Sc  0.1201  0.1201  0.1201
Sc  0.3711  0.3711  0.3711
Sc  0.6289  0.6289  0.6289
Sc  0.8799  0.8799  0.8799
Ni  0.0000  0.0000  0.0000
Ag  0.5000  0.5000  0.5000
Pt  0.2500  0.2500  0.2500
Pt  0.7500  0.7500  0.7500

- Space group: R-3m, No. 166
- Energy relative to the elements: -0.84 eV/atom
- Total DFT energy (no corrections): -6.59 eV/atom
- Crystal system: trigonal
- Total magnetic moment: 0.00 μB per cell
- Fermi-level density of states: 0.60 states/eV/atom

(6)
Computed, not measured: crystalline ScNiAgPt at its relaxed geometry at the PBE-GGA level of DFT.

Lattice parameters (Å, degrees): 4.5073 4.5073 4.5073 60.00 60.00 60.00
Fractional coordinates of all 4 atoms:
Sc  0.0000  0.0000  0.0000
Ni  0.2500  0.2500  0.2500
Ag  0.5000  0.5000  0.5000
Pt  0.7500  0.7500  0.7500

- Space group: F-43m, No. 216
- Energy relative to the elements: -0.46 eV/atom
- Total DFT energy (no corrections): -5.72 eV/atom
- Crystal system: cubic
- Total magnetic moment: 0.00 μB per cell
- Fermi-level density of states: 0.49 states/eV/atom

(7)
Computed, not measured: crystalline NiAgPtSe2 at its relaxed geometry at the PBE-GGA level of DFT.

Lattice parameters (Å, degrees): 4.5231 4.5231 4.8729 90.00 90.00 90.00
Fractional coordinates of all 5 atoms:
Ni  0.0000  0.0000  0.0000
Ag  0.5000  0.5000  0.5000
Pt  0.0000  0.0000  0.5000
Se  0.0000  0.5000  0.0000
Se  0.5000  0.0000  0.0000

- Space group: P4/mmm, No. 123
- Total DFT energy (no corrections): -3.85 eV/atom
- Crystal system: tetragonal
- Total magnetic moment: 0.00 μB per cell
- Fermi-level density of states: 1.01 states/eV/atom

(8)
Computed, not measured: crystalline SrNi2AgPt at its relaxed geometry at the PBE-GGA level of DFT.

Lattice parameters (Å, degrees): 4.5958 4.5958 5.2194 90.00 90.00 90.00
Fractional coordinates of all 5 atoms:
Sr  0.0000  0.0000  0.0000
Ni  0.0000  0.5000  0.0000
Ni  0.5000  0.0000  0.0000
Ag  0.0000  0.0000  0.5000
Pt  0.5000  0.5000  0.5000

- Space group: P4/mmm, No. 123
- Energy relative to the elements: 1.70 eV/atom
- Total DFT energy (no corrections): -2.72 eV/atom
- Crystal system: tetragonal
- Total magnetic moment: 0.00 μB per cell
- Fermi-level density of states: 0.69 states/eV/atom

(9)
Computed, not measured: crystalline TiNiAg2Pt at its relaxed geometry at the PBE-GGA level of DFT.

Lattice parameters (Å, degrees): 4.6957 4.6957 4.2529 90.00 90.00 90.00
Fractional coordinates of all 5 atoms:
Ti  0.0000  0.0000  0.0000
Ni  0.0000  0.0000  0.5000
Ag  0.0000  0.5000  0.5000
Ag  0.5000  0.0000  0.5000
Pt  0.5000  0.5000  0.0000

- Space group: P4/mmm, No. 123
- Energy relative to the elements: 0.66 eV/atom
- Total DFT energy (no corrections): -4.43 eV/atom
- Crystal system: tetragonal
- Total magnetic moment: 0.42 μB per cell
- Fermi-level density of states: 1.12 states/eV/atom

(10)
Computed, not measured: crystalline TmNiAgPt at its relaxed geometry at the PBE-GGA level of DFT.

Lattice parameters (Å, degrees): 4.6211 4.6211 4.6211 60.00 60.00 60.00
Fractional coordinates of all 4 atoms:
Tm  0.0000  0.0000  0.0000
Ni  0.7500  0.7500  0.7500
Ag  0.5000  0.5000  0.5000
Pt  0.2500  0.2500  0.2500

- Space group: F-43m, No. 216
- Energy relative to the elements: -0.47 eV/atom
- Total DFT energy (no corrections): -5.25 eV/atom
- Crystal system: cubic
- Total magnetic moment: 0.00 μB per cell
- Fermi-level density of states: 0.66 states/eV/atom

(11)
Computed, not measured: crystalline ZnNiAgPt at its relaxed geometry at the PBE-GGA level of DFT.

Lattice parameters (Å, degrees): 4.3414 4.3414 4.3414 60.00 60.00 60.00
Fractional coordinates of all 4 atoms:
Zn  0.0000  0.0000  0.0000
Ni  0.5000  0.5000  0.5000
Ag  0.2500  0.2500  0.2500
Pt  0.7500  0.7500  0.7500

- Space group: F-43m, No. 216
- Energy relative to the elements: -0.12 eV/atom
- Total DFT energy (no corrections): -4.11 eV/atom
- Crystal system: cubic
- Total magnetic moment: 0.01 μB per cell
- Fermi-level density of states: 1.09 states/eV/atom

(12)
Computed, not measured: crystalline ZrNiAgPt at its relaxed geometry at the PBE-GGA level of DFT.

Lattice parameters (Å, degrees): 4.5477 4.5477 4.5477 60.00 60.00 60.00
Fractional coordinates of all 4 atoms:
Zr  0.0000  0.0000  0.0000
Ni  0.7500  0.7500  0.7500
Ag  0.5000  0.5000  0.5000
Pt  0.2500  0.2500  0.2500

- Space group: F-43m, No. 216
- Energy relative to the elements: -0.42 eV/atom
- Total DFT energy (no corrections): -6.22 eV/atom
- Crystal system: cubic
- Total magnetic moment: 0.00 μB per cell
- Fermi-level density of states: 0.81 states/eV/atom

(13)
Computed, not measured: crystalline Pu3Ni8Ag at its relaxed geometry at the PBE-GGA level of DFT.

Lattice parameters (Å, degrees): 8.6565 8.6565 8.6565 33.54 33.54 33.54
Fractional coordinates of all 12 atoms:
Pu  0.0000  0.0000  0.0000
Pu  0.1267  0.1267  0.1267
Pu  0.5037  0.5037  0.5037
Ni  0.0621  0.5643  0.5643
Ni  0.0655  0.0655  0.5651
Ni  0.0655  0.5651  0.0655
Ni  0.3142  0.3142  0.3142
Ni  0.5643  0.0621  0.5643
Ni  0.5643  0.5643  0.0621
Ni  0.5651  0.0655  0.0655
Ni  0.8146  0.8146  0.8146
Ag  0.6275  0.6275  0.6275

- Space group: R3m, No. 160
- Energy relative to the elements: -0.20 eV/atom
- Total DFT energy (no corrections): -7.88 eV/atom
- Crystal system: trigonal
- Total magnetic moment: 13.78 μB per cell
- Fermi-level density of states: 2.86 states/eV/atom

(14)
Computed, not measured: crystalline PuNi4Ag at its relaxed geometry at the PBE-GGA level of DFT.

Lattice parameters (Å, degrees): 4.9580 4.9580 4.9580 60.00 60.00 60.00
Fractional coordinates of all 6 atoms:
Pu  0.0000  0.0000  0.0000
Ni  0.1267  0.6244  0.6244
Ni  0.6244  0.1267  0.6244
Ni  0.6244  0.6244  0.1267
Ni  0.6244  0.6244  0.6244
Ag  0.2500  0.2500  0.2500

- Space group: F-43m, No. 216
- Energy relative to the elements: -0.13 eV/atom
- Total DFT energy (no corrections): -6.85 eV/atom
- Crystal system: cubic
- Total magnetic moment: 3.26 μB per cell
- Fermi-level density of states: 2.59 states/eV/atom

(15)
Computed, not measured: crystalline Pu3NiAg3S8 at its relaxed geometry at the PBE-GGA level of DFT.

Lattice parameters (Å, degrees): 7.6027 7.6027 7.6080 118.11 118.11 61.91
Fractional coordinates of all 15 atoms:
Pu  0.0000  0.0000  0.0000
Pu  0.0000  0.5000  0.5000
Pu  0.5000  0.0000  0.5000
Ni  0.5000  0.5000  0.0000
Ag  0.0000  0.5000  0.0000
Ag  0.5000  0.0000  0.0000
Ag  0.5000  0.5000  0.5000
S  0.2472  0.2472  0.2530
S  0.2638  0.7303  0.7700
S  0.2691  0.2691  0.7629
S  0.2697  0.7362  0.2300
S  0.7303  0.2638  0.7700
S  0.7309  0.7309  0.2371
S  0.7362  0.2697  0.2300
S  0.7528  0.7528  0.7470

- Space group: C2/m, No. 12
- Total DFT energy (no corrections): -6.84 eV/atom
- Crystal system: monoclinic
- Total magnetic moment: 11.10 μB per cell
- Fermi-level density of states: 2.04 states/eV/atom

(16)
Computed, not measured: crystalline Pu3NiAg3Se8 at its relaxed geometry at the PBE-GGA level of DFT.

Lattice parameters (Å, degrees): 7.9674 7.9674 7.9674 62.18 62.18 62.18
Fractional coordinates of all 15 atoms:
Pu  0.0000  0.5000  0.5000
Pu  0.5000  0.0000  0.5000
Pu  0.5000  0.5000  0.0000
Ni  0.0000  0.0000  0.0000
Ag  0.0000  0.0000  0.5000
Ag  0.0000  0.5000  0.0000
Ag  0.5000  0.0000  0.0000
Se  0.2203  0.7787  0.7787
Se  0.2213  0.2213  0.7797
Se  0.2213  0.7797  0.2213
Se  0.2517  0.2517  0.2517
Se  0.7483  0.7483  0.7483
Se  0.7787  0.2203  0.7787
Se  0.7787  0.7787  0.2203
Se  0.7797  0.2213  0.2213

- Space group: R-3m, No. 166
- Total DFT energy (no corrections): -6.40 eV/atom
- Crystal system: trigonal
- Total magnetic moment: 14.92 μB per cell
- Fermi-level density of states: 1.89 states/eV/atom

(17)
Computed, not measured: crystalline PuNiAgSn at its relaxed geometry at the PBE-GGA level of DFT.

Lattice parameters (Å, degrees): 4.8376 4.8376 4.8376 60.00 60.00 60.00
Fractional coordinates of all 4 atoms:
Pu  0.0000  0.0000  0.0000
Ni  0.7500  0.7500  0.7500
Ag  0.2500  0.2500  0.2500
Sn  0.5000  0.5000  0.5000

- Space group: F-43m, No. 216
- Energy relative to the elements: -0.07 eV/atom
- Total DFT energy (no corrections): -6.81 eV/atom
- Crystal system: cubic
- Total magnetic moment: 4.91 μB per cell
- Fermi-level density of states: 3.50 states/eV/atom

(18)
Computed, not measured: crystalline PuThNiAg at its relaxed geometry at the PBE-GGA level of DFT.

Lattice parameters (Å, degrees): 5.0685 5.0685 5.0685 60.00 60.00 60.00
Fractional coordinates of all 4 atoms:
Pu  0.0000  0.0000  0.0000
Th  0.5000  0.5000  0.5000
Ni  0.7500  0.7500  0.7500
Ag  0.2500  0.2500  0.2500

- Space group: F-43m, No. 216
- Energy relative to the elements: 0.02 eV/atom
- Total DFT energy (no corrections): -7.58 eV/atom
- Crystal system: cubic
- Total magnetic moment: 5.84 μB per cell
- Fermi-level density of states: 2.79 states/eV/atom

(19)
Computed, not measured: crystalline TmPuNiAg at its relaxed geometry at the PBE-GGA level of DFT.

Lattice parameters (Å, degrees): 4.9609 4.9609 4.9609 60.00 60.00 60.00
Fractional coordinates of all 4 atoms:
Tm  0.0000  0.0000  0.0000
Pu  0.5000  0.5000  0.5000
Ni  0.2500  0.2500  0.2500
Ag  0.7500  0.7500  0.7500

- Space group: F-43m, No. 216
- Energy relative to the elements: -0.07 eV/atom
- Total DFT energy (no corrections): -6.93 eV/atom
- Crystal system: cubic
- Total magnetic moment: 5.53 μB per cell
- Fermi-level density of states: 3.07 states/eV/atom

(20)
Computed, not measured: crystalline RbNiAg3 at its relaxed geometry at the PBE-GGA level of DFT.

Lattice parameters (Å, degrees): 5.0519 5.0519 5.0519 90.00 90.00 90.00
Fractional coordinates of all 5 atoms:
Rb  0.0000  0.0000  0.0000
Ni  0.5000  0.5000  0.5000
Ag  0.0000  0.5000  0.5000
Ag  0.5000  0.0000  0.5000
Ag  0.5000  0.5000  0.0000

- Space group: Pm-3m, No. 221
- Energy relative to the elements: 0.43 eV/atom
- Total DFT energy (no corrections): -2.63 eV/atom
- Crystal system: cubic
- Total magnetic moment: 0.00 μB per cell
- Fermi-level density of states: 0.60 states/eV/atom